Record 1
Here is a relaxed structure of Ba2InGePt6 from the Alexandria database. Energies are from GGA-PBE.

Output
Space group: P-1, No. 2
DOS(E_F): 0.371 states/eV/atom
Energy of formation: -6.32 eV per formula unit

Cell lengths 6.8974, 7.2260, 7.2223 Å; angles 46.40, 75.98, 94.80 degrees
Element x y z (fractional)
Pt 0.1114 0.2508 0.1399
In 0.0000 0.0000 0.0000
Pt 0.8886 0.7492 0.8601
Pt 0.7640 0.2754 0.0189
Pt 0.2365 0.2174 0.4887
Ba 0.7012 0.2532 0.5520
Ba 0.2988 0.7468 0.4480
Pt 0.2360 0.7246 0.9811
Ge 0.5000 0.5000 0.0000
Pt 0.7635 0.7826 0.5113

---

Record 2
Here is a relaxed structure of BaInGePt3 from the Alexandria database. Energies are from GGA-PBE.

Output
Space group: Cmcm, No. 63
DOS(E_F): 0.284 states/eV/atom
Energy of formation: -3.51 eV per formula unit

Cell lengths 5.9232, 7.2469, 8.0649 Å; angles 116.70, 90.00, 90.00 degrees
Element x y z (fractional)
Pt 0.5000 0.7966 0.0000
Ge 0.2500 0.0918 0.1835
Ge 0.7500 0.9082 0.8165
In 0.2500 0.4441 0.8883
Pt 0.7500 0.7410 0.4820
Pt 0.5000 0.2034 0.0000
In 0.7500 0.5559 0.1117
Pt 0.2500 0.2590 0.5180
Pt 0.0000 0.7966 0.0000
Ba 0.7500 0.2275 0.4551
Ba 0.2500 0.7725 0.5449
Pt 0.0000 0.2034 0.0000

---

Record 3
Here is a relaxed structure of Ba2In3GePt4 from the Alexandria database. Energies are from GGA-PBE.

Output
Space group: P-4m2, No. 115
DOS(E_F): 0.405 states/eV/atom
Energy of formation: -6.70 eV per formula unit

Cell lengths 4.8171, 4.8171, 10.4738 Å; angles 90.00, 90.00, 90.00 degrees
Element x y z (fractional)
Pt 0.0000 0.5000 0.3871
Pt 0.0000 0.0000 0.0000
Ge 0.5000 0.5000 0.5000
Ba 0.0000 0.5000 0.7556
Ba 0.5000 0.0000 0.2444
Pt 0.5000 0.0000 0.6129
In 0.5000 0.0000 0.8754
Pt 0.5000 0.5000 0.0000
In 0.0000 0.5000 0.1246
In 0.0000 0.0000 0.5000

---

Record 4
Here is a relaxed structure of Ba2InReGe from the Alexandria database. Energies are from GGA-PBE.

Output
Space group: P4/mmm, No. 123
DOS(E_F): 1.364 states/eV/atom
Energy of formation: 6.14 eV per formula unit

Cell lengths 6.5442, 5.1061, 6.5442 Å; angles 90.00, 90.00, 90.00 degrees
Each line ends with the local moment (μB).
Element x y z (fractional)
Re 0.5000 0.5000 0.5000  3.34
Ge 0.0000 0.5000 0.0000  0.02
Ba 0.5000 0.0000 0.0000  -0.03
In 0.0000 0.0000 0.0000  0.01
Ba 0.0000 0.0000 0.5000  -0.02

---

Record 5
Here is a relaxed structure of BaIn2GeRh from the Alexandria database. Energies are from GGA-PBE.

Output
Space group: P4/mmm, No. 123
DOS(E_F): 0.917 states/eV/atom
Energy of formation: -1.51 eV per formula unit

Cell lengths 5.2345, 5.2345, 4.9273 Å; angles 90.00, 90.00, 90.00 degrees
Element x y z (fractional)
Ge 0.0000 0.0000 0.5000
In 0.5000 0.0000 0.0000
Rh 0.0000 0.0000 0.0000
In 0.0000 0.5000 0.0000
Ba 0.5000 0.5000 0.5000

---

Record 6
Here is a relaxed structure of BaIn2GeRh2 from the Alexandria database. Energies are from GGA-PBE.

Output
Space group: P4/mmm, No. 123
DOS(E_F): 0.718 states/eV/atom
Energy of formation: -2.62 eV per formula unit

Cell lengths 4.7446, 4.7446, 6.4175 Å; angles 90.00, 90.00, 90.00 degrees
Element x y z (fractional)
Ge 0.0000 0.0000 0.0000
Rh 0.5000 0.0000 0.0000
In 0.5000 0.5000 0.7531
Rh 0.0000 0.5000 0.0000
In 0.5000 0.5000 0.2469
Ba 0.0000 0.0000 0.5000

---

Record 7
Here is a relaxed structure of BaIn2GeRu from the Alexandria database. Energies are from GGA-PBE.

Output
Space group: P4/mmm, No. 123
DOS(E_F): 0.419 states/eV/atom
Energy of formation: -1.20 eV per formula unit

Cell lengths 5.2357, 5.2357, 4.8443 Å; angles 90.00, 90.00, 90.00 degrees
Element x y z (fractional)
Ba 0.5000 0.5000 0.5000
Ge 0.0000 0.0000 0.5000
In 0.0000 0.5000 0.0000
In 0.5000 0.0000 0.0000
Ru 0.0000 0.0000 0.0000

---

Record 8
Here is a relaxed structure of BaInGe2Ru from the Alexandria database. Energies are from GGA-PBE.

Output
Space group: P4/mmm, No. 123
DOS(E_F): 1.863 states/eV/atom
Energy of formation: 9.84 eV per formula unit

Cell lengths 5.7102, 6.1178, 5.7102 Å; angles 90.00, 90.00, 90.00 degrees
Each line ends with the local moment (μB).
Element x y z (fractional)
In 0.0000 0.5000 0.0000  -0.04
Ba 0.0000 0.0000 0.0000  -0.03
Ge 0.0000 0.0000 0.5000  -0.04
Ge 0.5000 0.0000 0.0000  0.00
Ru 0.5000 0.5000 0.5000  2.57